{"formula": "KMg2GeRh", "functional": "PBE", "state": "relaxed", "total_magnetization_mub_per_cell": 0.0, "sg": "P4/mmm (123)", "ef_mev_per_atom": -254.8, "lattice": [[5.1319, 0.0000, 0.0000], [0.0000, 4.7554, 0.0000], [0.0000, 0.0000, 5.1319]], "species": ["Mg", "Mg", "Ge", "Rh", "K"], "fractional_positions": [[0.0000, 0.0000, 0.5000], [0.5000, 0.0000, 0.0000], [0.0000, 0.5000, 0.0000], [0.0000, 0.0000, 0.0000], [0.5000, 0.5000, 0.5000]]}